1.
Density functional theory data (PBE) for crystalline Pr2Y5Er3 at its relaxed geometry.

Lattice parameters (Å, degrees): 10.679 16.272 9.334 90.00 124.85 90.00
Space group C2/c (No. 15)
One atom of each set of equivalent atoms:
Pr 0.142 0.124 0.044 [8 per cell]
Y 0.000 0.230 0.250 [4 per cell]
Y 0.000 0.274 0.750 [4 per cell]
Y 0.000 0.472 0.750 [4 per cell]
Y 0.237 0.383 0.230 [8 per cell]
Er 0.000 0.026 0.250 [4 per cell]
Er 0.155 0.379 0.549 [8 per cell]

## Properties
Crystal system = monoclinic
Energy relative to the elements = 184 meV per atom


2.
Density functional theory data (PBE) for crystalline PrY4Er6 at its relaxed geometry.

Lattice parameters (Å, degrees): 6.556 6.556 17.049 90.00 90.00 90.00
Space group I-42m (No. 121)
One atom of each set of equivalent atoms:
Pr 0.000 0.000 0.000 [2 per cell]
Y 0.187 0.187 0.175 [8 per cell]
Er 0.000 0.500 0.000 [4 per cell]
Er 0.179 0.179 0.371 [8 per cell]

## Properties
Crystal system = tetragonal
Energy relative to the elements = 317 meV per atom


3.
Density functional theory data (PBE) for crystalline Pr4YEr at its relaxed geometry.

Lattice parameters (Å, degrees): 6.0138 6.0138 20.3408 90.00 90.00 120.00
Space group R-3m (No. 166, hexagonal axes)
One atom of each set of equivalent atoms:
Pr 0.0000 0.0000 0.1641 [6 per cell]
Pr 0.0000 0.0000 0.3331 [6 per cell]
Y 0.0000 0.0000 0.5000 [3 per cell]
Er 0.0000 0.0000 0.0000 [3 per cell]

## Properties
Crystal system = trigonal
Energy relative to the elements = 377 meV per atom


4.
Density functional theory data (PBE) for crystalline PrY6Er4 at its relaxed geometry.

Lattice parameters (Å, degrees): 9.0904 9.0904 5.2854 90.00 90.00 120.00
Space group P-6m2 (No. 187)
One atom of each set of equivalent atoms:
Pr 0.0000 0.0000 0.0000 [1 per cell]
Y 0.2066 0.4131 0.5000 [3 per cell]
Y 0.5352 0.0704 0.0000 [3 per cell]
Er 0.3333 0.6667 0.0000 [1 per cell]
Er 0.4097 0.2048 0.5000 [3 per cell]

## Properties
Crystal system = hexagonal
Energy relative to the elements = 334 meV per atom